Record 1
TaNb14Mo after structural relaxation, computed with PBE-GGA.

Computed properties:
Calculated total energy: -164.24 eV per cell

Unit cell a=6.605 b=6.605 c=6.605 alpha=90.00 beta=90.00 gamma=90.00
Fractional coordinates of all 16 atoms:
Ta (0.875, 0.875, 0.500)
Nb (0.875, 0.875, 0.000)
Nb (0.375, 0.375, 0.000)
Nb (0.875, 0.375, 0.500)
Nb (0.875, 0.375, 0.000)
Nb (0.375, 0.875, 0.500)
Nb (0.375, 0.875, 0.000)
Nb (0.623, 0.127, 0.252)
Nb (0.623, 0.127, 0.748)
Nb (0.127, 0.623, 0.252)
Nb (0.127, 0.623, 0.748)
Nb (0.623, 0.623, 0.252)
Nb (0.623, 0.623, 0.748)
Nb (0.127, 0.127, 0.252)
Nb (0.127, 0.127, 0.748)
Mo (0.375, 0.375, 0.500)

=====

Record 2
Er2ZnPt3 after structural relaxation, computed with PBE-GGA.

Computed properties:
Energy relative to the lowest polymorph listed for this composition: 0 meV per atom
Calculated total energy: -69.94 eV per cell

Unit cell a=5.535 b=5.535 c=8.334 alpha=90.00 beta=90.00 gamma=120.00
Fractional coordinates of all 12 atoms:
Er (0.667, 0.333, 0.442)
Er (0.333, 0.667, 0.558)
Er (0.333, 0.667, 0.942)
Er (0.667, 0.333, 0.058)
Zn (0.000, 0.000, 0.500)
Zn (0.000, 0.000, 0.000)
Pt (0.168, 0.336, 0.250)
Pt (0.336, 0.168, 0.750)
Pt (0.832, 0.664, 0.750)
Pt (0.168, 0.832, 0.250)
Pt (0.832, 0.168, 0.750)
Pt (0.664, 0.832, 0.250)

=====

Record 3
HfCu3Rh after structural relaxation, computed with PBE-GGA.

Computed properties:
Energy relative to the lowest polymorph listed for this composition: 1120 meV per atom
Calculated total energy: -25.18 eV per cell

Unit cell a=4.526 b=4.526 c=4.526 alpha=90.00 beta=90.00 gamma=90.00
Fractional coordinates of all 5 atoms:
Rh (0.000, 0.000, 0.000)
Hf (0.500, 0.500, 0.500)
Cu (0.000, 0.500, 0.000)
Cu (0.000, 0.000, 0.500)
Cu (0.500, 0.000, 0.000)

=====

Record 4
Y2AlNi2Pt5 after structural relaxation, computed with PBE-GGA.

Computed properties:
Calculated total energy: -134.53 eV per cell

Unit cell a=3.906 b=9.252 c=9.252 alpha=90.00 beta=90.00 gamma=90.00
Fractional coordinates of all 20 atoms:
Y (0.000, 0.674, 0.174)
Y (0.000, 0.326, 0.826)
Y (0.000, 0.174, 0.326)
Y (0.000, 0.826, 0.674)
Al (0.000, 0.000, 0.000)
Al (0.000, 0.500, 0.500)
Ni (0.000, 0.124, 0.624)
Ni (0.000, 0.876, 0.376)
Ni (0.000, 0.624, 0.876)
Ni (0.000, 0.376, 0.124)
Pt (0.500, 0.204, 0.069)
Pt (0.500, 0.796, 0.931)
Pt (0.500, 0.069, 0.796)
Pt (0.500, 0.704, 0.431)
Pt (0.500, 0.931, 0.204)
Pt (0.500, 0.296, 0.569)
Pt (0.500, 0.569, 0.704)
Pt (0.500, 0.431, 0.296)
Pt (0.500, 0.500, 0.000)
Pt (0.500, 0.000, 0.500)

=====

Record 5
TbGe2Pd2 after structural relaxation, computed with PBE-GGA.

Computed properties:
Calculated total energy: -28.28 eV per cell

Unit cell a=4.284 b=4.284 c=5.913 alpha=111.31 beta=111.31 gamma=89.85
Fractional coordinates of all 5 atoms:
Ge (0.621, 0.621, 0.241)
Ge (0.379, 0.379, 0.759)
Tb (0.000, 0.000, 0.000)
Pd (0.750, 0.250, 0.500)
Pd (0.250, 0.750, 0.500)

=====

Record 6
K12NaHg6 after structural relaxation, computed with PBE-GGA.

Computed properties:
Calculated total energy: -19.06 eV per cell

Unit cell a=10.669 b=10.669 c=10.669 alpha=109.47 beta=109.47 gamma=109.47
Fractional coordinates of all 19 atoms:
K (0.296, 0.111, 0.815)
K (0.296, 0.481, 0.185)
K (0.704, 0.519, 0.815)
K (0.704, 0.889, 0.185)
K (0.111, 0.815, 0.296)
K (0.481, 0.185, 0.296)
K (0.519, 0.815, 0.704)
K (0.889, 0.185, 0.704)
K (0.815, 0.296, 0.111)
K (0.185, 0.296, 0.481)
K (0.815, 0.704, 0.519)
K (0.185, 0.704, 0.889)
Na (0.000, 0.000, 0.000)
Hg (0.379, 0.500, 0.879)
Hg (0.621, 0.500, 0.121)
Hg (0.500, 0.879, 0.379)
Hg (0.500, 0.121, 0.621)
Hg (0.879, 0.379, 0.500)
Hg (0.121, 0.621, 0.500)

=====

Computed energy relative to the elements, in the same sequence as the records: -0.036 -1.075 0.882 -0.883 -0.806 -0.145 eV/atom.